(1)
A relaxed PrSm6In3 crystal, computed with PBE.

Unit cell a=7.894 b=9.403 c=9.403 alpha=110.97 beta=90.00 gamma=90.00
Element x y z (fractional)
Sm (0.293, 0.076, 0.451)
Sm (0.106, 0.768, 0.702)
Sm (0.793, 0.451, 0.076)
Sm (0.625, 0.305, 0.695)
Sm (0.297, 0.950, 0.050)
Sm (0.106, 0.298, 0.232)
Sm (0.606, 0.232, 0.298)
Sm (0.797, 0.050, 0.950)
Sm (0.125, 0.695, 0.305)
Sm (0.293, 0.549, 0.924)
Sm (0.793, 0.924, 0.549)
Sm (0.606, 0.702, 0.768)
In (0.932, 0.010, 0.277)
In (0.319, 0.449, 0.551)
In (0.432, 0.990, 0.723)
In (0.819, 0.551, 0.449)
In (0.432, 0.277, 0.010)
In (0.932, 0.723, 0.990)
Pr (0.584, 0.780, 0.220)
Pr (0.084, 0.220, 0.780)

Values from the calculation:
* E_form: -0.154 eV per atom
* crystal system: orthorhombic
* VASP energy: -85.71 eV per cell

=====

(2)
A relaxed Pr4Sm2In crystal, computed with PBE.

Unit cell a=6.805 b=6.807 c=12.503 alpha=96.89 beta=96.86 gamma=124.06
Element x y z (fractional)
Sm (0.526, 0.930, 0.368)
Sm (0.555, 0.158, 0.632)
Sm (0.181, 0.277, 0.867)
Sm (0.407, 0.305, 0.132)
Pr (0.991, 0.022, 0.575)
Pr (0.498, 0.663, 0.707)
Pr (0.272, 0.741, 0.075)
Pr (0.441, 0.419, 0.424)
Pr (0.913, 0.248, 0.208)
Pr (0.039, 0.704, 0.793)
Pr (0.669, 0.191, 0.924)
Pr (0.954, 0.789, 0.293)
In (0.025, 0.529, 0.501)
In (0.779, 0.775, 0.001)

Values from the calculation:
* E_form: -0.096 eV per atom
* energy relative to the lowest polymorph listed for this composition: 0 meV per atom
* crystal system: monoclinic
* VASP energy: -63.94 eV per cell

=====

(3)
A relaxed Pr8Sm6In crystal, computed with PBE.

Unit cell a=6.710 b=9.469 c=9.469 alpha=120.00 beta=90.00 gamma=90.00
Element x y z (fractional)
Sm (0.663, 0.905, 0.556)
Sm (0.663, 0.444, 0.349)
Sm (0.663, 0.651, 0.095)
Sm (0.337, 0.556, 0.651)
Sm (0.337, 0.095, 0.444)
Sm (0.337, 0.349, 0.905)
Pr (0.821, 0.230, 0.958)
Pr (0.179, 0.770, 0.042)
Pr (0.869, 0.333, 0.667)
Pr (0.179, 0.271, 0.230)
Pr (0.821, 0.729, 0.770)
Pr (0.821, 0.042, 0.271)
Pr (0.131, 0.667, 0.333)
Pr (0.179, 0.958, 0.729)
In (0.500, 0.000, 0.000)

Values from the calculation:
* E_form: 0.060 eV per atom
* crystal system: trigonal
* VASP energy: -68.40 eV per cell

=====

(4)
A relaxed PrSm6In crystal, computed with PBE.

Unit cell a=4.997 b=4.997 c=10.322 alpha=90.00 beta=90.00 gamma=90.00
Element x y z (fractional)
In (0.000, 0.000, 0.500)
Sm (0.000, 0.500, 0.259)
Sm (0.500, 0.500, 0.000)
Sm (0.500, 0.500, 0.500)
Sm (0.500, 0.000, 0.741)
Sm (0.500, 0.000, 0.259)
Sm (0.000, 0.500, 0.741)
Pr (0.000, 0.000, 0.000)

Values from the calculation:
* E_form: -0.111 eV per atom
* crystal system: tetragonal
* VASP energy: -36.72 eV per cell

=====

(5)
A relaxed Pr2Sm8In crystal, computed with PBE.

Unit cell a=5.058 b=8.075 c=9.542 alpha=104.72 beta=105.37 gamma=90.00
Element x y z (fractional)
Sm (0.322, 0.092, 0.643)
Sm (0.678, 0.908, 0.357)
Sm (0.044, 0.727, 0.087)
Sm (0.412, 0.559, 0.823)
Sm (0.135, 0.175, 0.269)
Sm (0.865, 0.825, 0.731)
Sm (0.956, 0.273, 0.913)
Sm (0.588, 0.441, 0.177)
Pr (0.223, 0.636, 0.446)
Pr (0.777, 0.364, 0.554)
In (0.500, 0.000, 0.000)

Values from the calculation:
* E_form: -0.062 eV per atom
* energy relative to the lowest polymorph listed for this composition: 0 meV per atom
* crystal system: monoclinic
* VASP energy: -50.73 eV per cell

=====

(6)
A relaxed Pr5Sm2In4 crystal, computed with PBE.

Unit cell a=3.510 b=8.873 c=10.838 alpha=84.55 beta=90.00 gamma=90.00
Element x y z (fractional)
Pr (0.000, 0.459, 0.335)
Pr (0.000, 0.843, 0.141)
Pr (0.000, 0.541, 0.665)
Pr (0.000, 0.500, 0.000)
Pr (0.000, 0.157, 0.859)
In (0.500, 0.245, 0.578)
In (0.500, 0.799, 0.876)
In (0.500, 0.201, 0.124)
In (0.500, 0.755, 0.422)
Sm (0.000, 0.082, 0.363)
Sm (0.000, 0.918, 0.637)

Values from the calculation:
* E_form: -0.299 eV per atom
* crystal system: monoclinic
* VASP energy: -47.57 eV per cell

=====

(7)
A relaxed Pr12Sm3In crystal, computed with PBE.

Unit cell a=5.144 b=5.144 c=20.954 alpha=90.00 beta=90.00 gamma=90.00
Element x y z (fractional)
Pr (0.000, 0.500, 0.880)
Pr (0.500, 0.000, 0.373)
Pr (0.500, 0.500, 0.246)
Pr (0.500, 0.000, 0.627)
Pr (0.500, 0.000, 0.120)
Pr (0.500, 0.500, 0.000)
Pr (0.500, 0.000, 0.880)
Pr (0.500, 0.500, 0.754)
Pr (0.000, 0.500, 0.373)
Pr (0.000, 0.500, 0.120)
Pr (0.000, 0.500, 0.627)
Pr (0.500, 0.500, 0.500)
In (0.000, 0.000, 0.000)
Sm (0.000, 0.000, 0.753)
Sm (0.000, 0.000, 0.247)
Sm (0.000, 0.000, 0.500)

Values from the calculation:
* E_form: -0.050 eV per atom
* crystal system: tetragonal
* VASP energy: -75.04 eV per cell

=====

(8)
A relaxed Pr4Sm3In4 crystal, computed with PBE.

Unit cell a=3.718 b=9.576 c=11.096 alpha=115.56 beta=99.65 gamma=90.00
Element x y z (fractional)
Pr (0.337, 0.160, 0.673)
Pr (0.663, 0.840, 0.327)
Pr (0.663, 0.487, 0.327)
Pr (0.337, 0.513, 0.673)
Sm (0.094, 0.094, 0.188)
Sm (0.906, 0.906, 0.812)
Sm (0.000, 0.500, 0.000)
In (0.275, 0.775, 0.550)
In (0.500, 0.220, 0.000)
In (0.725, 0.225, 0.450)
In (0.500, 0.780, 0.000)

Values from the calculation:
* E_form: -0.319 eV per atom
* crystal system: orthorhombic
* VASP energy: -47.74 eV per cell